# 1
An optimized crystal structure of Li2MoAs. Source: Alexandria via LeMat-Bulk, functional GGA-PBE.

POSCAR file:
```
Li2MoAs
1.0
2.892 0.002 0.000
-0.891 2.752 0.000
0.000 0.000 8.706
As Li Mo
1 2 1
Cartesian
1.001 1.377 6.407
0.000 0.000 8.463
1.001 1.377 2.330
0.000 0.000 4.566
```

Results
The space-group type is Cmm2, No. 35. The formation energy comes out at 0.30 eV/f.u. The density of states at the Fermi level is 1.55 states/eV/f.u.


# 2
An optimized crystal structure of CsKAs. Source: Alexandria via LeMat-Bulk, functional GGA-PBE.

POSCAR file:
```
CsKAs
1.0
-2.315 5.500 2.710
-4.935 -0.583 -5.147
-6.099 -2.387 2.773
Cs K As
2 2 2
Cartesian
-8.846 0.331 -0.322
-4.503 2.199 0.658
-5.634 -0.835 -3.495
-7.715 3.365 3.831
-6.346 2.178 -2.555
-7.004 0.352 2.891
```

Results
The space-group type is P-1, No. 2. The formation energy comes out at -0.90 eV/f.u. The density of states at the Fermi level is 1.68 states/eV/f.u.


# 3
An optimized crystal structure of RbGaF2. Source: Alexandria via LeMat-Bulk, functional GGA-PBE.

POSCAR file:
```
RbGaF2
1.0
3.566 0.871 2.974
-0.797 2.351 4.020
0.226 -2.260 4.143
Ga Rb F
1 1 2
Cartesian
0.000 0.000 0.000
1.498 0.481 5.569
0.749 0.240 2.784
2.247 0.721 8.353
```

Results
The space-group type is Fm-3m, No. 225. As for the raw formation energy: -1.907 eV/atom. The density of states at the Fermi level is 0.00 states/eV/f.u.


# 4
An optimized crystal structure of ZnInGaO4. Source: Alexandria via LeMat-Bulk, functional GGA-PBE.

POSCAR file:
```
ZnInGaO4
1.0
5.414 -0.027 0.000
-2.199 4.947 0.000
0.000 0.000 6.506
Zn In Ga O
2 2 2 8
Cartesian
-0.970 4.144 1.626
4.185 0.776 4.879
1.607 2.460 3.253
1.607 2.460 0.000
4.238 0.741 1.626
-1.024 4.179 4.879
0.836 1.130 4.879
2.516 3.701 4.879
3.407 1.284 0.080
3.407 1.284 3.173
-0.193 3.636 6.426
-0.193 3.636 3.333
2.379 3.791 1.626
0.699 1.219 1.626
```

Results
The space-group type is Cmcm, No. 63. As for the raw formation energy: -1.602 eV/atom.


# 5
An optimized crystal structure of KBa. Source: Alexandria via LeMat-Bulk, functional GGA-PBE.

POSCAR file:
```
KBa
1.0
-1.038 4.077 -1.439
0.877 -3.233 -2.924
-15.725 -4.077 -0.209
K Ba
2 2
Cartesian
-6.205 -2.467 -2.515
-14.706 -2.069 -2.124
-10.332 -3.537 -2.570
-3.108 0.938 -1.970
```

Results
The space-group type is P6_3mc, No. 186. The formation energy comes out at 0.28 eV/f.u. The density of states at the Fermi level is 2.88 states/eV/f.u.


# 6
An optimized crystal structure of ZrZn2Ir. Source: Alexandria via LeMat-Bulk, functional GGA-PBE.

POSCAR file:
```
ZrZn2Ir
1.0
3.118 0.000 0.000
0.000 3.118 0.000
0.000 0.000 6.660
Ir Zn Zr
1 2 1
Cartesian
1.559 1.559 4.995
0.000 0.000 6.415
0.000 0.000 3.576
1.559 1.559 1.665
```

Results
The space-group type is P4/mmm, No. 123. The formation energy comes out at -0.92 eV/f.u. The density of states at the Fermi level is 2.74 states/eV/f.u.


# 7
An optimized crystal structure of Ca2MgSeO. Source: Alexandria via LeMat-Bulk, functional GGA-PBE.

POSCAR file:
```
Ca2MgSeO
1.0
4.420 0.000 0.000
0.000 6.456 0.000
0.000 0.000 4.420
O Ca Mg Se
1 2 1 1
Cartesian
0.000 0.000 0.000
0.000 0.000 2.210
2.210 0.000 0.000
2.210 3.228 2.210
0.000 3.228 0.000
```

Results
The space-group type is P4/mmm, No. 123. As for the raw formation energy: -1.148 eV/atom. The density of states at the Fermi level is 0.73 states/eV/f.u.


# 8
An optimized crystal structure of Ca2NdCd. Source: Alexandria via LeMat-Bulk, functional GGA-PBE.

POSCAR file:
```
Ca2NdCd
1.0
5.360 0.000 0.000
0.000 4.945 0.000
0.000 0.000 4.945
Ca Nd Cd
2 1 1
Cartesian
0.000 0.000 2.472
0.000 2.472 0.000
2.680 0.000 0.000
2.680 2.472 2.472
```

Results
The space-group type is P4/mmm, No. 123. The formation energy comes out at -0.28 eV/f.u. The density of states at the Fermi level is 6.13 states/eV/f.u.


# 9
An optimized crystal structure of BaPm2IrO8. Source: Alexandria via LeMat-Bulk, functional GGA-PBE.

POSCAR file:
```
BaPm2IrO8
1.0
-3.006 -4.265 -1.425
2.881 -2.631 1.797
-1.891 -0.981 6.916
Ba Pm Ir O
1 2 1 8
Cartesian
-0.945 -0.490 3.458
-1.972 -3.873 5.489
-0.042 -4.004 1.800
0.000 0.000 0.000
-1.619 -6.188 1.420
-1.510 -6.131 6.558
-1.879 -3.700 0.075
-0.396 -1.689 5.869
-0.504 -1.746 0.730
-0.136 -4.177 7.214
-0.068 -4.797 4.231
-1.947 -3.080 3.057
```

Results
The space-group type is P2/m, No. 10. As for the raw formation energy: -2.079 eV/atom. The density of states at the Fermi level is 4.34 states/eV/f.u.


# 10
An optimized crystal structure of BaSi2Sb. Source: Alexandria via LeMat-Bulk, functional GGA-PBE.

POSCAR file:
```
BaSi2Sb
1.0
-0.984 -2.211 -3.031
2.952 -2.387 0.783
-4.132 -3.769 4.090
Ba Sb Si
1 1 2
Cartesian
-2.003 -1.826 1.982
-2.391 -5.377 2.217
-0.077 -0.070 0.076
0.240 -2.978 -0.387
```

Results
The space-group type is P4mm, No. 99. As for the raw formation energy: 0.031 eV/atom. The density of states at the Fermi level is 2.05 states/eV/f.u.


Number 1: mass density 4.43 g/cm³, total moment 0.0 μB/f.u., E -4.75 eV per atom. Number 2: mass density 2.71 g/cm³, total moment 0.0 μB/f.u., E -2.50 eV per atom. Number 3: mass density 4.30 g/cm³, total moment 0.0 μB/f.u., E -3.84 eV per atom. Number 4: mass density 6.00 g/cm³, total moment 0.0 μB/f.u., E -5.44 eV per atom. Number 5: mass density 2.11 g/cm³, total moment 0.0 μB/f.u., E -1.37 eV per atom. Number 6: mass density 10.62 g/cm³, total moment 0.0 μB/f.u., E -5.22 eV per atom. Number 7: mass density 2.63 g/cm³, total moment 0.0 μB/f.u., E -3.96 eV per atom. Number 8: mass density 4.27 g/cm³, total moment 0.0 μB/f.u., E -2.49 eV per atom. Number 9: mass density 7.76 g/cm³, total moment 2.4 μB/f.u., E -7.07 eV per atom. Number 10: mass density 5.03 g/cm³, total moment 0.0 μB/f.u., E -4.19 eV per atom.